Crystalline CsBaPaO4 at its relaxed geometry, computed with PBE.

Computed properties:
size of the total moment: 0.00 Bohr magnetons per cell
final energy: -7.543 eV/atom
space-group type: I4mm (107)
formation energy without anion corrections: -2956 meV per atom

Cell: 4.507 4.507 7.709 Å, 107.00 107.00 90.00°
Element x y z (fractional)
O 0.153 0.153 0.306
O 0.855 0.855 0.711
O 0.488 0.988 0.976
O 0.988 0.488 0.976
Cs 0.655 0.655 0.310
Pa 0.004 0.004 0.009
Ba 0.356 0.356 0.711

Crystalline Cs2Ba2PaO6 at its relaxed geometry, computed with PBE.

Computed properties:
size of the total moment: 1.11 Bohr magnetons per cell
final energy: -6.549 eV/atom
space-group type: C2/m (12)
formation energy without anion corrections: -2477 meV per atom

Cell: 6.677 6.677 7.301 Å, 98.31 98.31 118.63°
Each line ends with the local moment (μB).
Element x y z (fractional)
O 0.674 0.957 0.338  0.14
O 0.789 0.789 0.675  0.12
O 0.957 0.674 0.338  0.14
O 0.326 0.043 0.662  0.14
O 0.043 0.326 0.662  0.14
O 0.211 0.211 0.325  0.12
Ba 0.338 0.662 0.500  0.00
Ba 0.662 0.338 0.500  0.00
Cs 0.166 0.834 0.000  0.00
Cs 0.834 0.166 0.000  0.00
Pa 0.000 0.000 0.500  0.09

Crystalline Cs2BaPa2O7 at its relaxed geometry, computed with PBE.

Computed properties:
size of the total moment: 0.00 Bohr magnetons per cell
final energy: -7.838 eV/atom
space-group type: I4/mmm (139)
formation energy without anion corrections: -3060 meV per atom

Cell: 4.468 4.468 12.514 Å, 79.71 79.71 90.00°
Element x y z (fractional)
Cs 0.807 0.807 0.387
Cs 0.193 0.193 0.613
O 0.418 0.918 0.165
O 0.324 0.324 0.351
O 0.918 0.418 0.165
O 0.582 0.082 0.835
O 0.082 0.582 0.835
O 0.500 0.500 0.000
O 0.676 0.676 0.649
Ba 0.000 0.000 0.000
Pa 0.592 0.592 0.816
Pa 0.408 0.408 0.184

Question: The highest size of the total moment belongs to which entry?
Answer: Cs2Ba2PaO6

Repeat the second record exactly.
Crystalline Cs2Ba2PaO6 at its relaxed geometry, computed with PBE.

Computed properties:
size of the total moment: 1.11 Bohr magnetons per cell
final energy: -6.549 eV/atom
space-group type: C2/m (12)
formation energy without anion corrections: -2477 meV per atom

Cell: 6.677 6.677 7.301 Å, 98.31 98.31 118.63°
Each line ends with the local moment (μB).
Element x y z (fractional)
O 0.674 0.957 0.338  0.14
O 0.789 0.789 0.675  0.12
O 0.957 0.674 0.338  0.14
O 0.326 0.043 0.662  0.14
O 0.043 0.326 0.662  0.14
O 0.211 0.211 0.325  0.12
Ba 0.338 0.662 0.500  0.00
Ba 0.662 0.338 0.500  0.00
Cs 0.166 0.834 0.000  0.00
Cs 0.834 0.166 0.000  0.00
Pa 0.000 0.000 0.500  0.09